# 1
# AlIn3

An optimized crystal structure of AlIn3 (GGA-PBEsol, Alexandria).

E_tot (eV/atom): -3.150
V (Å³ per atom): 23.3
N(E_F) (states/eV/atom): 0.46

The structure in CIF format:
```
data_AlIn3
_cell_length_a 4.663
_cell_length_b 4.663
_cell_length_c 8.564
_cell_angle_alpha 90.00
_cell_angle_beta 90.00
_cell_angle_gamma 90.00
_space_group_name_H-M_alt 'I 4/m m m'
_space_group_IT_number 139
_space_group_name_Hall '-I 4 2'
loop_
_atom_site_label
_atom_site_fract_x
_atom_site_fract_y
_atom_site_fract_z
_atom_site_occupancy
Al1 0.000 0.000 0.000 1
In1 0.000 0.000 0.500 1
In2 0.000 0.500 0.250 1
```

---

# 2
# Rb2MnGeF

An optimized crystal structure of Rb2MnGeF (GGA-PBEsol, Alexandria).

V (Å³ per atom): 39.9
N(E_F) (states/eV/atom): 0.22
Formation energy without anion corrections (eV/atom): -0.21

The structure in CIF format:
```
data_Rb2MnGeF
_cell_length_a 6.559
_cell_length_b 6.559
_cell_length_c 4.637
_cell_angle_alpha 90.00
_cell_angle_beta 90.00
_cell_angle_gamma 90.00
_space_group_name_H-M_alt 'P 4/m m m'
_space_group_IT_number 123
_space_group_name_Hall '-P 4 2'
loop_
_atom_site_label
_atom_site_fract_x
_atom_site_fract_y
_atom_site_fract_z
_atom_site_occupancy
Rb1 0.000 0.500 0.000 1
Mn1 0.000 0.000 0.500 1
Ge1 0.000 0.000 0.000 1
F1 0.500 0.500 0.500 1
```

---

# 3
# Mo3Cl

An optimized crystal structure of Mo3Cl (GGA-PBEsol, Alexandria).

ΔE to the lowest computed polymorph (meV per atom): 234
V (Å³ per atom): 15.5
N(E_F) (states/eV/atom): 0.88
Formation energy without anion corrections (eV/atom): 0.55

The structure in CIF format:
```
data_Mo3Cl
_cell_length_a 2.916
_cell_length_b 9.738
_cell_length_c 4.359
_cell_angle_alpha 90.00
_cell_angle_beta 90.00
_cell_angle_gamma 90.00
_space_group_name_H-M_alt 'I m m 2'
_space_group_IT_number 44
loop_
_space_group_symop_operation_xyz
'x,y,z'
'-x,-y,z'
'-x,y,z'
'x,-y,z'
'x+1/2,y+1/2,z+1/2'
'-x+1/2,-y+1/2,z+1/2'
'-x+1/2,y+1/2,z+1/2'
'x+1/2,-y+1/2,z+1/2'
loop_
_atom_site_label
_atom_site_fract_x
_atom_site_fract_y
_atom_site_fract_z
_atom_site_occupancy
Mo1 0.000 0.000 0.000 1
Mo2 0.000 0.298 0.230 1
Cl1 0.000 0.500 0.925 1
```